Compound: Ac2PaIO8
Source: Alexandria
Functional: PBE
Structure: optimized geometry

Calculated values
Uncorrected energy in eV per cell: -88.7
Density in g/cm3: 8.22
Symmetry: No. 10

The structure in POSCAR format:
```
Ac2PaIO8
1.0
-3.3684 -0.1149 2.7805
-0.4842 -5.3794 -1.9220
4.6671 -2.4045 5.5546
Ac Pa I O
2 1 1 8
Direct
0.5000 0.5000 0.7549 Ac
0.5000 0.5000 0.2451 Ac
0.0000 0.0000 0.5000 Pa
0.0000 0.0000 0.0000 I
0.0659 0.7791 0.2485 O
0.6032 0.7810 0.0000 O
0.9342 0.2209 0.2485 O
0.9342 0.2209 0.7515 O
0.3968 0.2190 0.0000 O
0.0658 0.7791 0.7515 O
0.5856 0.7737 0.5000 O
0.4144 0.2263 0.5000 O
```